# GGA-PBEsol AlIn2Br, optimized geometry
data_AlIn2Br
_chemical_formula_sum 'Al2 In4 Br2'
_cell_length_a 4.6554
_cell_length_b 5.0996
_cell_length_c 8.0711
_cell_angle_alpha 90.00
_cell_angle_beta 90.00
_cell_angle_gamma 90.00
_space_group_name_H-M_alt 'C m m m'
_space_group_IT_number 65
_space_group_name_Hall '-C 2 2'
loop_
_atom_site_label
_atom_site_type_symbol
_atom_site_fract_x
_atom_site_fract_y
_atom_site_fract_z
Al1 Al 0.0000 0.0000 0.0000
In1 In 0.0000 0.5000 0.2302
Br1 Br 0.0000 0.0000 0.5000
# **Total moment**: 0.0 μB per cell
# **Excess energy over the best structure of this formula in the dataset**: 10 meV per atom
# **Formation energy (no corrections)**: -0.12 eV per formula unit